Li2HfSb2 | the Alexandria database | PBE-GGA | relaxed; total magnetic moment = 0.0 μB/cell; calculated density = 7.30 g cm⁻³; energy relative to the elements, uncorrected = -0.27 eV per atom
1.0
7.8867 0.0000 0.0000
0.0000 7.8867 0.0000
0.0000 0.0000 3.1873
Li Hf Sb
4 2 4
direct
0.1103 0.3897 0.0000
0.3897 0.8897 0.0000
0.6103 0.1103 0.0000
0.8897 0.6103 0.0000
0.0000 0.0000 0.0000
0.5000 0.5000 0.0000
0.1870 0.6870 0.5000
0.3130 0.1870 0.5000
0.6870 0.8130 0.5000
0.8130 0.3130 0.5000